Record 1
Here is BeOs4Pt after structural relaxation from the Alexandria database. Energies are from GGA-PBE.

a = 5.106 Å, b = 5.106 Å, c = 5.106 Å
α = 60.00°, β = 60.00°, γ = 60.00°
Positions (direct):
Be 0.000 0.000 0.000
Os 0.126 0.625 0.625
Os 0.625 0.126 0.625
Os 0.625 0.625 0.126
Os 0.625 0.625 0.625
Pt 0.250 0.250 0.250

Computed properties:
Crystal system: cubic
Energy relative to the elements in eV per atom: 0.920
SG: F-43m, No. 216
Magnetic moment in μB per cell: 0.0
Electronic total energy in eV per formula unit: -49.17

Record 2
Here is BeOsPt3 after structural relaxation from the Alexandria database. Energies are from GGA-PBE.

a = 4.816 Å, b = 4.816 Å, c = 4.816 Å
α = 90.00°, β = 90.00°, γ = 90.00°
Positions (direct):
Be 0.000 0.000 0.000
Os 0.500 0.500 0.500
Pt 0.000 0.500 0.500
Pt 0.500 0.000 0.500
Pt 0.500 0.500 0.000

Computed properties:
Crystal system: cubic
Energy relative to the elements in eV per atom: 1.651
SG: Pm-3m, No. 221
Magnetic moment in μB per cell: 0.0
Electronic total energy in eV per formula unit: -24.82

Record 3
Here is BeOsPt2 after structural relaxation from the Alexandria database. Energies are from GGA-PBE.

a = 4.772 Å, b = 4.772 Å, c = 4.661 Å
α = 106.56°, β = 106.56°, γ = 32.90°
Positions (direct):
Be 0.000 0.000 0.000
Os 0.718 0.718 0.305
Pt 0.267 0.267 0.839
Pt 0.482 0.482 0.518

Computed properties:
Crystal system: monoclinic
Energy relative to the elements in eV per atom: -0.116
SG: Cm, No. 8
Magnetic moment in μB per cell: 0.0
Electronic total energy in eV per formula unit: -27.50

Record 4
Here is BeOsPt2 after structural relaxation from the Alexandria database. Energies are from GGA-PBE.

a = 3.772 Å, b = 3.772 Å, c = 3.917 Å
α = 90.00°, β = 90.00°, γ = 90.00°
Positions (direct):
Be 0.000 0.000 0.000
Os 0.500 0.500 0.000
Pt 0.000 0.500 0.500
Pt 0.500 0.000 0.500

Computed properties:
Crystal system: tetragonal
Energy relative to the elements in eV per atom: 0.082
SG: P4/mmm, No. 123
Magnetic moment in μB per cell: 0.0
Electronic total energy in eV per formula unit: -26.71

Record 5
Here is BeOsPt2 after structural relaxation from the Alexandria database. Energies are from GGA-PBE.

a = 8.495 Å, b = 8.495 Å, c = 8.495 Å
α = 18.60°, β = 18.60°, γ = 18.60°
Positions (direct):
Be 0.000 0.000 0.000
Os 0.500 0.500 0.500
Pt 0.259 0.259 0.259
Pt 0.741 0.741 0.741

Computed properties:
Crystal system: trigonal
Energy relative to the elements in eV per atom: -0.144
SG: R-3m, No. 166
Magnetic moment in μB per cell: 0.0
Electronic total energy in eV per formula unit: -27.61

Record 6
Here is BeOsPt after structural relaxation from the Alexandria database. Energies are from GGA-PBE.

a = 4.115 Å, b = 4.115 Å, c = 2.693 Å
α = 90.00°, β = 90.00°, γ = 120.00°
Positions (direct):
Be 0.000 0.000 0.000
Os 0.667 0.333 0.500
Pt 0.333 0.667 0.000

Computed properties:
Crystal system: hexagonal
Energy relative to the elements in eV per atom: 0.110
SG: P-6m2, No. 187
Magnetic moment in μB per cell: 0.6
Electronic total energy in eV per formula unit: -20.67

Record 7
Here is BeOsPt2 after structural relaxation from the Alexandria database. Energies are from GGA-PBE.

a = 4.608 Å, b = 4.608 Å, c = 4.608 Å
α = 130.36°, β = 130.36°, γ = 72.84°
Positions (direct):
Be 0.000 0.000 0.000
Os 0.250 0.750 0.500
Pt 0.500 0.500 0.000
Pt 0.750 0.250 0.500

Computed properties:
Crystal system: tetragonal
Energy relative to the elements in eV per atom: 0.048
SG: I-4m2, No. 119
Magnetic moment in μB per cell: 0.0
Electronic total energy in eV per formula unit: -26.85

Record 8
Here is BeOsPt4 after structural relaxation from the Alexandria database. Energies are from GGA-PBE.

a = 5.183 Å, b = 5.183 Å, c = 5.183 Å
α = 60.00°, β = 60.00°, γ = 60.00°
Positions (direct):
Be 0.000 0.000 0.000
Os 0.750 0.750 0.750
Pt 0.375 0.375 0.375
Pt 0.375 0.375 0.875
Pt 0.375 0.875 0.375
Pt 0.875 0.375 0.375

Computed properties:
Crystal system: cubic
Energy relative to the elements in eV per atom: 0.658
SG: F-43m, No. 216
Magnetic moment in μB per cell: 2.4
Electronic total energy in eV per formula unit: -35.17

Record 9
Here is Be2SiOsPt after structural relaxation from the Alexandria database. Energies are from GGA-PBE.

a = 4.218 Å, b = 4.218 Å, c = 4.863 Å
α = 90.00°, β = 90.00°, γ = 90.00°
Positions (direct):
Be 0.000 0.500 0.000
Be 0.500 0.000 0.000
Si 0.000 0.000 0.500
Os 0.500 0.500 0.000
Pt 0.500 0.500 0.500

Computed properties:
Crystal system: tetragonal
Formation energy without anion corrections in eV/atom: 0.98
SG: P4/mmm, No. 123
Magnetic moment in μB per cell: 0.0
Electronic total energy in eV per formula unit: -25.24

Record 10
Here is BeSnOs2Pt after structural relaxation from the Alexandria database. Energies are from GGA-PBE.

a = 4.844 Å, b = 4.844 Å, c = 4.128 Å
α = 90.00°, β = 90.00°, γ = 90.00°
Positions (direct):
Be 0.000 0.000 0.000
Sn 0.500 0.500 0.000
Os 0.000 0.500 0.500
Os 0.500 0.000 0.500
Pt 0.000 0.000 0.500

Computed properties:
Crystal system: tetragonal
Energy relative to the elements in eV per atom: 1.381
SG: P4/mmm, No. 123
Magnetic moment in μB per cell: 0.0
Electronic total energy in eV per formula unit: -29.32

Record 11
Here is BeTcOs2Pt after structural relaxation from the Alexandria database. Energies are from GGA-PBE.

a = 4.636 Å, b = 4.636 Å, c = 4.803 Å
α = 90.00°, β = 90.00°, γ = 90.00°
Positions (direct):
Be 0.000 0.000 0.000
Tc 0.500 0.500 0.500
Os 0.000 0.500 0.500
Os 0.500 0.000 0.500
Pt 0.500 0.500 0.000

Computed properties:
Crystal system: tetragonal
Energy relative to the elements in eV per atom: 2.200
SG: P4/mmm, No. 123
Magnetic moment in μB per cell: 0.7
Electronic total energy in eV per formula unit: -31.59

Record 12
Here is BeTlOs2Pt after structural relaxation from the Alexandria database. Energies are from GGA-PBE.

a = 4.943 Å, b = 4.943 Å, c = 4.168 Å
α = 90.00°, β = 90.00°, γ = 90.00°
Positions (direct):
Be 0.000 0.000 0.000
Tl 0.000 0.000 0.500
Os 0.000 0.500 0.500
Os 0.500 0.000 0.500
Pt 0.500 0.500 0.000

Computed properties:
Crystal system: tetragonal
Energy relative to the elements in eV per atom: 2.609
SG: P4/mmm, No. 123
Magnetic moment in μB per cell: 1.2
Electronic total energy in eV per formula unit: -21.55

Question: What is the magnetic moment in the seventh record?
Answer: 0.0 μB per cell